! CsAl2Os2, optimized geometry, DFT PBE; values from VASP
&SYSTEM
  ibrav = 0, nat = 5, ntyp = 3
/
ATOMIC_SPECIES
Os 190.23 Os.upf
Cs 132.91 Cs.upf
Al 26.98 Al.upf
CELL_PARAMETERS angstrom
-1.3390 3.9059 1.9264
-3.5028 0.2317 -2.9045
-5.3047 -0.5328 2.7813
ATOMIC_POSITIONS angstrom
Os -3.1135 1.4439 0.2964
Cs 0.0000 0.0000 0.0000
Al -5.6142 0.8838 -0.3061
Os -7.0330 2.1608 1.5068
Al -4.5323 2.7209 2.1093
! - space group = No. 139
! - theoretical density (g/cm³) = 8.94
! - calculated total energy (eV per atom) = -5.557
! - V (Å³ per cell) = 105.4
! - energy above the most stable polymorph in this dataset (meV per atom) = 39
! - formation enthalpy at 0 K (eV per atom) = 0.60
! - density of states at the Fermi level (states/eV per atom) = 1.27